(1)
VASP calculation (GGA-PBE) on a relaxed MnZn5Pd8 crystal.

Geometry as POSCAR:
```
MnZn5Pd8
1.0
-3.777 3.777 3.814
3.777 -3.777 3.814
3.777 3.777 -3.814
Mn Zn Pd
1 5 8
Direct
0.000 0.000 0.000
0.225 0.617 0.139
0.383 0.522 0.608
0.478 0.086 0.861
0.750 0.250 0.500
0.914 0.775 0.392
0.109 0.697 0.755
0.151 0.250 0.754
0.303 0.057 0.411
0.496 0.397 0.246
0.603 0.849 0.100
0.646 0.891 0.589
0.750 0.504 0.900
0.943 0.354 0.245
```

Values from the calculation:
DOS at the Fermi energy = 4.1 states/eV/cell
Size of the total moment = 4.9 μB/cell
DFT total energy = -61.55 eV per cell

---

(2)
VASP calculation (GGA-PBE) on a relaxed Ce6Tl2Re crystal.

Geometry as POSCAR:
```
Ce6Tl2Re
1.0
5.822 -3.622 0.000
5.822 3.622 0.000
-5.247 0.000 5.832
Ce Tl Re
6 2 1
Direct
0.180 0.180 0.744
0.235 0.740 0.734
0.260 0.765 0.266
0.740 0.235 0.734
0.765 0.260 0.266
0.820 0.820 0.256
0.251 0.251 0.237
0.749 0.749 0.763
0.500 0.500 0.000
```

Values from the calculation:
DOS at the Fermi energy = 17.7 states/eV/cell
Size of the total moment = 0.0 μB/cell
DFT total energy = -53.57 eV per cell

---

(3)
VASP calculation (GGA-PBE) on a relaxed KLiCdBr2 crystal.

Geometry as POSCAR:
```
KLiCdBr2
1.0
5.986 0.000 0.000
0.000 5.986 0.000
0.000 0.000 6.156
K Li Cd Br
1 1 1 2
Direct
0.000 0.000 0.000
0.000 0.000 0.500
0.500 0.500 0.500
0.000 0.500 0.000
0.500 0.000 0.000
```

Values from the calculation:
DOS at the Fermi energy = 0.0 states/eV/cell
Size of the total moment = 0.0 μB/cell
Raw formation energy = -433 meV per atom
DFT total energy = -9.44 eV per cell

---

(4)
VASP calculation (GGA-PBE) on a relaxed PPt4Pb crystal.

Geometry as POSCAR:
```
PPt4Pb
1.0
2.058 -7.616 0.000
2.058 7.616 0.000
0.000 0.000 7.236
P Pt Pb
2 8 2
Direct
0.099 0.901 0.750
0.901 0.099 0.250
0.000 0.000 0.000
0.000 0.000 0.500
0.184 0.816 0.020
0.184 0.816 0.480
0.326 0.674 0.250
0.674 0.326 0.750
0.816 0.184 0.520
0.816 0.184 0.980
0.401 0.599 0.750
0.599 0.401 0.250
```

Values from the calculation:
DOS at the Fermi energy = 6.3 states/eV/cell
Size of the total moment = 0.0 μB/cell
DFT total energy = -69.13 eV per cell

---

(5)
VASP calculation (GGA-PBE) on a relaxed RbV2TcRh crystal.

Geometry as POSCAR:
```
RbV2TcRh
1.0
4.427 0.000 0.000
0.000 4.427 0.000
0.000 0.000 4.572
Rb V Tc Rh
1 2 1 1
Direct
0.000 0.000 0.000
0.000 0.500 0.000
0.500 0.000 0.000
0.000 0.000 0.500
0.500 0.500 0.500
```

Values from the calculation:
DOS at the Fermi energy = 7.9 states/eV/cell
Size of the total moment = 0.7 μB/cell
DFT total energy = -22.96 eV per cell

---

(6)
VASP calculation (GGA-PBE) on a relaxed CaTl3Pb2 crystal.

Geometry as POSCAR:
```
CaTl3Pb2
1.0
11.511 -1.822 0.000
11.511 1.822 0.000
-0.776 0.000 9.361
Ca Tl Pb
2 6 4
Direct
0.172 0.172 0.065
0.828 0.828 0.935
0.047 0.047 0.387
0.222 0.222 0.763
0.409 0.409 0.271
0.591 0.591 0.729
0.778 0.778 0.237
0.953 0.953 0.613
0.191 0.191 0.433
0.445 0.445 0.904
0.555 0.555 0.096
0.809 0.809 0.567
```

Values from the calculation:
DOS at the Fermi energy = 4.5 states/eV/cell
Size of the total moment = 0.0 μB/cell
DFT total energy = -33.79 eV per cell

---

(7)
VASP calculation (GGA-PBE) on a relaxed Mg2PRh crystal.

Geometry as POSCAR:
```
Mg2PRh
1.0
1.604 0.926 8.329
-1.604 0.926 8.329
0.000 -1.852 8.329
Mg P Rh
2 1 1
Direct
0.000 0.000 0.000
0.226 0.226 0.226
0.474 0.474 0.474
0.754 0.754 0.754
```

Values from the calculation:
DOS at the Fermi energy = 1.0 states/eV/cell
Size of the total moment = 0.0 μB/cell
DFT total energy = -17.24 eV per cell

---

(8)
VASP calculation (GGA-PBE) on a relaxed CeAs3Ir crystal.

Geometry as POSCAR:
```
CeAs3Ir
1.0
12.049 0.000 0.000
0.000 5.849 0.000
0.000 0.000 5.695
Ce As Ir
4 12 4
Direct
0.193 0.003 0.250
0.193 0.497 0.750
0.807 0.503 0.250
0.807 0.997 0.750
0.002 0.750 0.000
0.002 0.750 0.500
0.266 0.507 0.250
0.266 0.993 0.750
0.433 0.115 0.250
0.433 0.385 0.750
0.567 0.615 0.250
0.567 0.885 0.750
0.734 0.007 0.250
0.734 0.493 0.750
0.998 0.250 0.000
0.998 0.250 0.500
0.409 0.750 0.000
0.409 0.750 0.500
0.591 0.250 0.000
0.591 0.250 0.500
```

Values from the calculation:
DOS at the Fermi energy = 15.6 states/eV/cell
Size of the total moment = 0.0 μB/cell
DFT total energy = -129.02 eV per cell

---

(9)
VASP calculation (GGA-PBE) on a relaxed Ca2TaCd crystal.

Geometry as POSCAR:
```
Ca2TaCd
1.0
3.303 -4.930 0.000
3.303 4.930 0.000
0.000 0.000 3.164
Ca Ta Cd
2 1 1
Direct
0.000 0.500 0.000
0.500 0.000 0.000
0.000 0.000 0.500
0.500 0.500 0.500
```

Values from the calculation:
DOS at the Fermi energy = 3.9 states/eV/cell
Size of the total moment = 0.9 μB/cell
DFT total energy = -14.85 eV per cell

---

(10)
VASP calculation (GGA-PBE) on a relaxed La5PrRu3 crystal.

Geometry as POSCAR:
```
La5PrRu3
1.0
6.760 0.000 0.000
0.000 4.244 0.000
-0.099 0.000 20.010
La Pr Ru
10 2 6
Direct
0.169 0.000 0.076
0.173 0.000 0.408
0.174 0.000 0.742
0.327 0.500 0.575
0.330 0.500 0.909
0.670 0.500 0.091
0.673 0.500 0.425
0.826 0.000 0.258
0.827 0.000 0.592
0.831 0.000 0.924
0.329 0.500 0.243
0.671 0.500 0.757
0.000 0.500 0.000
0.011 0.500 0.664
0.491 0.000 0.837
0.500 0.000 0.500
0.509 0.000 0.163
0.989 0.500 0.336
```

Values from the calculation:
DOS at the Fermi energy = 6.9 states/eV/cell
Size of the total moment = 0.0 μB/cell
DFT total energy = -118.94 eV per cell

---

(11)
VASP calculation (GGA-PBE) on a relaxed Ho2TiAu crystal.

Geometry as POSCAR:
```
Ho2TiAu
1.0
3.430 0.000 0.000
0.000 3.430 0.000
0.000 0.000 7.967
Ho Ti Au
2 1 1
Direct
0.000 0.000 0.242
0.000 0.000 0.758
0.500 0.500 0.500
0.500 0.500 0.000
```

Values from the calculation:
DOS at the Fermi energy = 3.6 states/eV/cell
Size of the total moment = 0.0 μB/cell
DFT total energy = -21.49 eV per cell

---

(12)
VASP calculation (GGA-PBE) on a relaxed Lu2PuHg crystal.

Geometry as POSCAR:
```
Lu2PuHg
1.0
5.345 0.000 0.000
0.000 5.345 0.000
0.000 0.000 3.561
Lu Pu Hg
2 1 1
Direct
0.000 0.500 0.000
0.500 0.000 0.000
0.000 0.000 0.500
0.500 0.500 0.500
```

Values from the calculation:
DOS at the Fermi energy = 8.6 states/eV/cell
Size of the total moment = 6.7 μB/cell
DFT total energy = -23.89 eV per cell

---

(13)
VASP calculation (GGA-PBE) on a relaxed Tb6Pd2S crystal.

Geometry as POSCAR:
```
Tb6Pd2S
1.0
6.529 0.000 0.000
0.000 7.270 0.000
-6.178 0.000 10.074
Tb Pd S
12 4 2
Direct
0.093 0.187 0.433
0.093 0.313 0.933
0.261 0.670 0.432
0.261 0.830 0.932
0.396 0.036 0.246
0.396 0.464 0.746
0.604 0.536 0.254
0.604 0.964 0.754
0.739 0.170 0.068
0.739 0.330 0.568
0.907 0.687 0.067
0.907 0.813 0.567
0.178 0.115 0.741
0.178 0.385 0.241
0.822 0.615 0.759
0.822 0.885 0.259
0.500 0.000 0.500
0.500 0.500 0.000
```

Values from the calculation:
DOS at the Fermi energy = 18.8 states/eV/cell
Size of the total moment = 0.0 μB/cell
Raw formation energy = -825 meV per atom
DFT total energy = -99.44 eV per cell

---

(14)
VASP calculation (GGA-PBE) on a relaxed Co2RuBr crystal.

Geometry as POSCAR:
```
Co2RuBr
1.0
0.000 3.081 3.081
3.081 0.000 3.081
3.081 3.081 0.000
Co Ru Br
2 1 1
Direct
0.250 0.250 0.250
0.750 0.750 0.750
0.000 0.000 0.000
0.500 0.500 0.500
```

Values from the calculation:
DOS at the Fermi energy = 6.0 states/eV/cell
Size of the total moment = 5.5 μB/cell
Raw formation energy = 980 meV per atom
DFT total energy = -21.24 eV per cell

---

(15)
VASP calculation (GGA-PBE) on a relaxed La3TcAu crystal.

Geometry as POSCAR:
```
La3TcAu
1.0
7.892 0.000 0.000
0.000 6.808 0.000
-0.005 0.000 10.424
La Tc Au
12 4 4
Direct
0.123 0.002 0.251
0.123 0.498 0.751
0.286 0.571 0.434
0.286 0.929 0.934
0.288 0.071 0.566
0.288 0.429 0.066
0.712 0.571 0.934
0.712 0.929 0.434
0.714 0.071 0.066
0.714 0.429 0.566
0.877 0.502 0.249
0.877 0.998 0.749
0.000 0.250 0.499
0.000 0.250 0.999
0.000 0.750 0.001
0.000 0.750 0.501
0.498 0.747 0.697
0.498 0.753 0.197
0.502 0.247 0.803
0.502 0.253 0.303
```

Values from the calculation:
DOS at the Fermi energy = 18.2 states/eV/cell
Size of the total moment = 0.0 μB/cell
DFT total energy = -119.50 eV per cell

---

(16)
VASP calculation (GGA-PBE) on a relaxed Mg2H6O crystal.

Geometry as POSCAR:
```
Mg2H6O
1.0
0.000 3.071 3.071
3.071 0.000 3.071
3.071 3.071 0.000
Mg H O
2 6 1
Direct
0.250 0.250 0.250
0.750 0.750 0.750
0.156 0.156 0.844
0.156 0.844 0.156
0.156 0.844 0.844
0.844 0.156 0.156
0.844 0.156 0.844
0.844 0.844 0.156
0.500 0.500 0.500
```

Values from the calculation:
Size of the total moment = 0.0 μB/cell
DFT total energy = -25.75 eV per cell

---

(17)
VASP calculation (GGA-PBE) on a relaxed RbSc2In crystal.

Geometry as POSCAR:
```
RbSc2In
1.0
-2.959 2.959 10.261
2.959 -2.959 10.261
2.959 2.959 -10.261
Rb Sc In
2 4 2
Direct
0.375 0.625 0.750
0.625 0.375 0.250
0.000 0.000 0.000
0.000 0.000 0.500
0.000 0.500 0.000
0.500 0.000 0.500
0.125 0.875 0.250
0.875 0.125 0.750
```

Values from the calculation:
DOS at the Fermi energy = 5.9 states/eV/cell
Size of the total moment = 4.0 μB/cell
DFT total energy = -27.40 eV per cell

---

(18)
VASP calculation (GGA-PBE) on a relaxed TbScSnPb crystal.

Geometry as POSCAR:
```
TbScSnPb
1.0
0.000 3.742 3.742
3.742 0.000 3.742
3.742 3.742 0.000
Tb Sc Sn Pb
1 1 1 1
Direct
0.000 0.000 0.000
0.500 0.500 0.500
0.750 0.750 0.750
0.250 0.250 0.250
```

Values from the calculation:
DOS at the Fermi energy = 3.7 states/eV/cell
Size of the total moment = 0.0 μB/cell
DFT total energy = -20.29 eV per cell

---

(19)
VASP calculation (GGA-PBE) on a relaxed TbPm9Sm2 crystal.

Geometry as POSCAR:
```
TbPm9Sm2
1.0
5.143 0.000 0.000
0.000 5.143 0.000
0.000 0.000 15.425
Tb Pm Sm
1 9 2
Direct
0.000 0.000 0.000
0.000 0.500 0.166
0.000 0.500 0.500
0.000 0.500 0.834
0.500 0.000 0.166
0.500 0.000 0.500
0.500 0.000 0.834
0.500 0.500 0.000
0.500 0.500 0.333
0.500 0.500 0.667
0.000 0.000 0.333
0.000 0.000 0.667
```

Values from the calculation:
DOS at the Fermi energy = 19.6 states/eV/cell
Size of the total moment = 0.0 μB/cell
DFT total energy = -56.64 eV per cell

---

(20)
VASP calculation (GGA-PBE) on a relaxed CaSCl crystal.

Geometry as POSCAR:
```
CaSCl
1.0
3.937 -2.490 0.000
3.937 2.490 0.000
-1.162 0.000 7.545
Ca S Cl
2 2 2
Direct
0.207 0.207 0.258
0.793 0.793 0.742
0.417 0.417 0.597
0.583 0.583 0.403
0.158 0.158 0.867
0.842 0.842 0.133
```

Values from the calculation:
DOS at the Fermi energy = 0.0 states/eV/cell
Size of the total moment = 0.0 μB/cell
Raw formation energy = -1820 meV per atom
DFT total energy = -26.87 eV per cell

---

(21)
VASP calculation (GGA-PBE) on a relaxed K5MgCd4 crystal.

Geometry as POSCAR:
```
K5MgCd4
1.0
11.038 -2.437 0.000
11.038 2.437 0.000
-3.541 0.000 8.379
K Mg Cd
5 1 4
Direct
0.000 0.000 0.000
0.304 0.304 0.897
0.354 0.354 0.489
0.646 0.646 0.511
0.696 0.696 0.103
0.000 0.000 0.500
0.122 0.122 0.800
0.464 0.464 0.288
0.536 0.536 0.712
0.878 0.878 0.200
```

Values from the calculation:
DOS at the Fermi energy = 4.9 states/eV/cell
Size of the total moment = 0.0 μB/cell
DFT total energy = -11.10 eV per cell

---

(22)
VASP calculation (GGA-PBE) on a relaxed Sc2CdIn5 crystal.

Geometry as POSCAR:
```
Sc2CdIn5
1.0
6.338 0.000 0.000
0.000 12.703 0.000
0.000 0.000 4.506
Sc Cd In
4 2 10
Direct
0.239 0.129 0.000
0.261 0.629 0.000
0.739 0.371 0.000
0.761 0.871 0.000
0.000 0.500 0.500
0.500 0.000 0.500
0.000 0.000 0.500
0.009 0.747 0.500
0.238 0.379 0.000
0.262 0.879 0.000
0.491 0.247 0.500
0.500 0.500 0.500
0.509 0.753 0.500
0.738 0.121 0.000
0.762 0.621 0.000
0.991 0.253 0.500
```

Values from the calculation:
DOS at the Fermi energy = 7.4 states/eV/cell
Size of the total moment = 0.0 μB/cell
DFT total energy = -59.47 eV per cell